Record 1
The following is a DFT calculation (PBE) of a geometry-optimized DyYHo2Se4 structure.

Cell lengths 7.0621, 4.0207, 7.0857 Å; angles 90.00, 108.89, 90.00 degrees
Last column: nearest neighbours and their distance in Å.
Space group P2/m (No. 10)
Symmetry-distinct sites (fractional):
Dy 0.0000 0.0000 0.0000 [1 per cell]  6 Se 2.88
Y 0.0000 0.5000 0.5000 [1 per cell]  6 Se 2.89
Ho 0.5000 0.0000 0.5000 [1 per cell]  6 Se 2.87
Ho 0.5000 0.5000 0.0000 [1 per cell]  6 Se 2.86-2.87
Se 0.2523 0.5000 0.2502 [2 per cell]  3 Ho 2.87, 2 Dy 2.88, 1 Y 2.89
Se 0.2527 0.0000 0.7514 [2 per cell]  3 Ho 2.86-2.87, 1 Dy 2.88, 2 Y 2.89

Computed properties:
raw formation energy = -1.737 eV per atom
total DFT energy (no corrections) = -48.055 eV per cell
spin magnetization = 0.00 μB per formula unit
calculated density = 7.825 g/cm³


Record 2
The following is a DFT calculation (PBE) of a geometry-optimized DyY2HoSe6 structure.

Cell lengths 7.1984, 7.1984, 19.4472 Å; angles 90.00, 90.00, 120.00 degrees
Last column: nearest neighbours and their distance in Å.
Space group R3 (No. 146, hexagonal axes)
Symmetry-distinct sites (fractional):
Dy 0.0000 0.0000 0.0000 [3 per cell]  6 Se 2.84-2.91
Y 0.0000 0.0000 0.3038 [3 per cell]  6 Se 2.85-2.91
Y 0.0000 0.0000 0.8042 [3 per cell]  6 Se 2.85-2.91
Ho 0.0000 0.0000 0.4995 [3 per cell]  6 Se 2.83-2.89
Se 0.0291 0.3594 0.5690 [9 per cell]  1 Ho 2.83, 2 Y 2.85-2.91, 1 Dy 2.91
Se 0.0294 0.6679 0.0690 [9 per cell]  1 Dy 2.84, 2 Y 2.85-2.91, 1 Ho 2.89

Computed properties:
raw formation energy = -1.858 eV per atom
total DFT energy (no corrections) = -184.800 eV per cell
spin magnetization = 0.00 μB per formula unit
calculated density = 5.588 g/cm³


Record 3
The following is a DFT calculation (PBE) of a geometry-optimized DyY2HoSe4 structure.

Cell lengths 7.0756, 4.0342, 7.0939 Å; angles 90.00, 108.96, 90.00 degrees
Last column: nearest neighbours and their distance in Å.
Space group P2/m (No. 10)
Symmetry-distinct sites (fractional):
Dy 0.0000 0.0000 0.0000 [1 per cell]  6 Se 2.88
Y 0.5000 0.0000 0.5000 [1 per cell]  6 Se 2.89
Y 0.5000 0.5000 0.0000 [1 per cell]  6 Se 2.89-2.90
Ho 0.0000 0.5000 0.5000 [1 per cell]  6 Se 2.87
Se 0.2475 0.0000 0.7483 [2 per cell]  2 Ho 2.87, 1 Dy 2.88, 3 Y 2.89
Se 0.2481 0.5000 0.2502 [2 per cell]  1 Ho 2.87, 2 Dy 2.88, 3 Y 2.89-2.90

Computed properties:
raw formation energy = -1.748 eV per atom
total DFT energy (no corrections) = -50.029 eV per cell
spin magnetization = 0.00 μB per formula unit
calculated density = 7.120 g/cm³


Record 4
The following is a DFT calculation (PBE) of a geometry-optimized Dy3Y3HoSe8 structure.

Cell lengths 8.1294, 8.1294, 19.9222 Å; angles 90.00, 90.00, 120.00 degrees
Last column: nearest neighbours and their distance in Å.
Space group R-3m (No. 166, hexagonal axes)
Symmetry-distinct sites (fractional):
Dy 0.0000 0.5000 0.0000 [9 per cell]  6 Se 2.87
Y 0.0000 0.5000 0.5000 [9 per cell]  6 Se 2.88
Ho 0.0000 0.0000 0.0000 [3 per cell]  6 Se 2.90
Se 0.0000 0.0000 0.2503 [6 per cell]  3 Dy 2.87, 3 Y 2.88
Se 0.0035 0.5018 0.2495 [18 per cell]  2 Dy 2.87, 2 Y 2.88, 1 Ho 2.90

Computed properties:
raw formation energy = -1.837 eV per atom
total DFT energy (no corrections) = -279.614 eV per cell
spin magnetization = 0.00 μB per formula unit
calculated density = 6.776 g/cm³


Record 5
The following is a DFT calculation (PBE) of a geometry-optimized Dy3Y2HoSe6 structure.

Cell lengths 17.7496, 4.0649, 8.1823 Å; angles 90.00, 103.43, 90.00 degrees
Last column: nearest neighbours and their distance in Å.
Space group C2/m (No. 12)
Symmetry-distinct sites (fractional):
Dy 0.0000 0.0000 0.0000 [2 per cell]  6 Se 2.87-2.89
Dy 0.1674 0.5000 0.3331 [4 per cell]  6 Se 2.88
Y 0.1670 0.5000 0.8336 [4 per cell]  6 Se 2.88-2.89
Ho 0.0000 0.0000 0.5000 [2 per cell]  6 Se 2.86-2.88
Se 0.0005 0.5000 0.2516 [4 per cell]  2 Ho 2.88, 3 Dy 2.88-2.89, 1 Y 2.89
Se 0.1663 0.0000 0.0837 [4 per cell]  3 Dy 2.87-2.88, 3 Y 2.88-2.89
Se 0.1659 0.0000 0.5819 [4 per cell]  1 Ho 2.86, 3 Dy 2.88, 2 Y 2.89

Computed properties:
raw formation energy = -1.749 eV per atom
total DFT energy (no corrections) = -146.422 eV per cell
spin magnetization = 0.00 μB per formula unit
calculated density = 7.542 g/cm³


Record 6
The following is a DFT calculation (PBE) of a geometry-optimized Dy2Y3HoSe6 structure.

Cell lengths 7.0290, 12.2563, 7.0762 Å; angles 90.00, 109.46, 90.00 degrees
Last column: nearest neighbours and their distance in Å.
Space group C2/m (No. 12)
Symmetry-distinct sites (fractional):
Dy 0.0000 0.1668 0.0000 [4 per cell]  6 Se 2.88
Y 0.0000 0.0000 0.5000 [2 per cell]  6 Se 2.89
Y 0.0000 0.3322 0.5000 [4 per cell]  6 Se 2.88-2.89
Ho 0.0000 0.5000 0.0000 [2 per cell]  6 Se 2.87
Se 0.2486 0.3340 0.2480 [8 per cell]  1 Ho 2.87, 2 Dy 2.88, 3 Y 2.88-2.89
Se 0.2491 0.5000 0.7512 [4 per cell]  1 Ho 2.87, 2 Dy 2.88, 3 Y 2.89

Computed properties:
raw formation energy = -1.754 eV per atom
total DFT energy (no corrections) = -150.259 eV per cell
spin magnetization = 0.00 μB per formula unit
calculated density = 7.109 g/cm³